No. 1
Density functional theory data (PBE) for a relaxed EuAsSe2 crystal.

```
4
Lattice="3.956 0.000 0.000 1.978 3.426 0.000 1.978 1.142 8.845" Properties=species:S:1:pos:R:3 pbc="T T T"
Eu 0.000 0.000 0.000
As 3.956 2.284 4.423
Se 1.978 1.142 5.906
Se 5.935 3.426 2.939
```

Its density of states at the Fermi level is 10.60 states/eV per cell. The calculation puts the total energy at -23.3 eV for the cell shown.


No. 2
Density functional theory data (PBE) for a relaxed Li4GeAu crystal.

```
6
Lattice="-2.200 -1.831 -0.645 1.710 -3.038 2.796 -2.756 3.624 5.625" Properties=species:S:1:pos:R:3 pbc="T T T"
Li -2.802 2.391 4.332
Li -2.460 -1.234 0.182
Li -0.242 -0.343 3.365
Li -2.710 -0.303 4.919
Ge -0.077 -2.154 1.300
Au -2.676 0.610 2.319
```

Its density of states at the Fermi level is 1.20 states/eV per cell. The polymorph energy (0 for the lowest one) is 0 meV/atom. The value obtained for the formation energy is -0.396 eV per atom.


No. 3
Density functional theory data (PBE) for a relaxed PuAlGe crystal.

```
3
Lattice="3.455 0.000 0.000 0.000 4.488 0.000 0.000 -2.244 3.886" Properties=species:S:1:pos:R:3 pbc="T T T"
Ge 0.576 0.000 0.000
Al 0.576 0.000 2.591
Pu 2.304 2.244 1.295
```

Its density of states at the Fermi level is 4.50 states/eV per cell. The value obtained for the formation energy is -0.363 eV per atom.


No. 4
Density functional theory data (PBE) for a relaxed CeNdRuPt crystal.

```
4
Lattice="-1.880 3.504 3.033 -0.131 -0.776 4.939 3.036 2.585 3.019" Properties=species:S:1:pos:R:3 pbc="T T T"
Ru 0.513 2.657 5.496
Nd 0.256 1.328 2.748
Ce 0.769 3.985 8.243
Pt 0.000 0.000 0.000
```

Its density of states at the Fermi level is 4.33 states/eV per cell. The polymorph energy (0 for the lowest one) is 122 meV/atom. The value obtained for the formation energy is -0.583 eV per atom.


No. 5
Density functional theory data (PBE) for a relaxed Al2NiIr crystal.

```
4
Lattice="-2.837 0.518 -0.636 -0.524 -2.906 -0.029 -1.271 0.171 5.805" Properties=species:S:1:pos:R:3 pbc="T T T"
Ni -2.634 -1.066 4.021
Ir -1.998 -1.151 1.119
Al -1.254 0.169 5.731
Al -0.652 0.088 2.977
```

Its density of states at the Fermi level is 1.17 states/eV per cell. The value obtained for the formation energy is -0.793 eV per atom.


No. 6
Density functional theory data (PBE) for a relaxed Sr2TmPuN4 crystal.

```
8
Lattice="3.565 0.000 0.000 0.000 6.026 0.128 0.000 -2.085 5.932" Properties=species:S:1:pos:R:3 pbc="T T T"
Sr 1.783 -1.042 2.966
Sr 0.000 1.971 3.030
Tm 1.783 3.013 0.064
Pu 0.000 0.000 0.000
N 1.783 0.958 1.248
N 1.783 2.984 4.812
N 0.000 -0.208 4.789
N 0.000 4.150 1.271
```

Its density of states at the Fermi level is 6.19 states/eV per cell. The calculation puts the total energy at -64.6 eV for the cell shown.


No. 7
Density functional theory data (PBE) for a relaxed BaSr3P crystal.

```
5
Lattice="6.208 0.000 0.000 0.000 6.208 0.000 0.000 0.000 6.208" Properties=species:S:1:pos:R:3 pbc="T T T"
Sr 0.000 3.104 0.000
Sr 0.000 0.000 3.104
Sr 3.104 0.000 0.000
Ba 0.000 0.000 0.000
P 3.104 3.104 3.104
```

Its density of states at the Fermi level is 8.62 states/eV per cell. The polymorph energy (0 for the lowest one) is 1633 meV/atom. The value obtained for the formation energy is 1.155 eV per atom.


No. 8
Density functional theory data (PBE) for a relaxed Li2Pm3Cd7 crystal.

```
12
Lattice="5.661 0.000 1.772 2.553 5.053 1.772 -0.005 -0.003 9.946" Properties=species:S:1:pos:R:3 pbc="T T T"
Li 5.476 3.368 2.364
Li 2.733 1.681 11.126
Pm 0.000 0.000 0.000
Pm 7.086 4.358 7.151
Pm 1.124 0.691 6.339
Cd 4.105 2.525 6.745
Cd 6.304 2.117 4.740
Cd 4.732 4.671 4.740
Cd 3.441 2.117 3.844
Cd 1.906 2.933 8.750
Cd 4.768 2.933 9.646
Cd 3.477 0.378 8.750
```

Its density of states at the Fermi level is 9.78 states/eV per cell. The polymorph energy (0 for the lowest one) is 0 meV/atom. The value obtained for the formation energy is -0.264 eV per atom.


No. 9
Density functional theory data (PBE) for a relaxed HoZrIr2 crystal.

```
4
Lattice="3.337 0.000 0.000 0.000 3.337 0.000 0.000 0.000 6.871" Properties=species:S:1:pos:R:3 pbc="T T T"
Ir 0.000 0.000 5.293
Ir 0.000 0.000 1.578
Ho 1.668 1.668 3.435
Zr 1.668 1.668 0.000
```

Its density of states at the Fermi level is 3.22 states/eV per cell. The polymorph energy (0 for the lowest one) is 0 meV/atom. The value obtained for the formation energy is -0.833 eV per atom.


No. 10
Density functional theory data (PBE) for a relaxed NiAgCl2 crystal.

```
4
Lattice="7.590 0.125 0.075 6.746 3.481 0.075 6.746 1.696 3.040" Properties=species:S:1:pos:R:3 pbc="T T T"
Ni 5.270 1.325 0.798
Ag 15.811 3.976 2.393
Cl 20.656 5.195 3.126
Cl 10.966 2.758 1.659
```

Its density of states at the Fermi level is 2.32 states/eV per cell. The polymorph energy (0 for the lowest one) is 138 meV/atom.


No. 11
Density functional theory data (PBE) for a relaxed Ga6Co3Ir crystal.

```
20
Lattice="-5.100 -4.075 1.457 1.218 -0.465 6.560 -4.282 4.762 1.932" Properties=species:S:1:pos:R:3 pbc="T T T"
Ga -1.401 -0.757 6.625
Ga -2.554 2.389 6.746
Ga -4.350 -0.500 7.467
Ga -3.765 -3.012 5.873
Ga -5.486 1.659 6.487
Ga -1.786 0.941 4.142
Ga -6.378 -0.720 5.808
Ga -2.677 -1.438 3.463
Ga -4.399 3.233 4.077
Ga -3.813 0.721 2.483
Ga -5.609 -2.168 3.204
Ga -6.762 0.978 3.325
Co -4.231 1.943 8.501
Co -5.545 -2.569 7.523
Co -0.269 -0.883 4.436
Co -7.894 1.104 5.514
Co -2.618 2.790 2.427
Co -3.932 -1.722 1.449
Ir 0.000 0.000 0.000
Ir -4.082 0.111 4.975
```

Its density of states at the Fermi level is 8.40 states/eV per cell. The value obtained for the formation energy is -0.163 eV per atom.


No. 12
Density functional theory data (PBE) for a relaxed CdAgSe crystal.

```
3
Lattice="5.100 0.017 -0.001 2.190 4.606 0.001 -3.645 -2.312 2.738" Properties=species:S:1:pos:R:3 pbc="T T T"
Ag 7.283 4.618 0.000
Cd 2.407 1.527 0.000
Se 4.891 3.102 0.000
```

Its density of states at the Fermi level is 1.29 states/eV per cell. The polymorph energy (0 for the lowest one) is 142 meV/atom.


No. 13
Density functional theory data (PBE) for a relaxed TbInSnPb crystal.

```
4
Lattice="4.765 0.000 0.000 0.000 4.763 0.000 0.000 0.000 4.740" Properties=species:S:1:pos:R:3 pbc="T T T"
Tb 2.382 0.000 2.370
In 2.382 2.382 0.000
Sn 0.000 0.000 0.000
Pb 0.000 2.382 2.370
```

Its density of states at the Fermi level is 1.18 states/eV per cell. The value obtained for the formation energy is -0.379 eV per atom.


No. 14
Density functional theory data (PBE) for a relaxed Na2CdBi crystal.

```
8
Lattice="-6.341 -4.495 4.270 -0.887 -5.387 -6.989 -1.451 -6.854 -0.160" Properties=species:S:1:pos:R:3 pbc="T T T"
Na -4.448 -5.205 1.763
Na -1.698 -5.634 -3.882
Na -3.797 -8.836 -1.127
Na -7.414 -13.797 -2.512
Bi 0.000 0.000 0.000
Bi -5.703 -8.145 1.375
Cd -3.614 -4.941 -1.359
Cd -2.976 -8.591 -4.254
```

Its density of states at the Fermi level is 4.04 states/eV per cell. The polymorph energy (0 for the lowest one) is 155 meV/atom. The value obtained for the formation energy is -0.070 eV per atom.


No. 15
Density functional theory data (PBE) for a relaxed LiGaP3 crystal.

```
5
Lattice="4.763 0.000 0.000 0.000 4.763 0.000 0.000 0.000 4.763" Properties=species:S:1:pos:R:3 pbc="T T T"
P 0.000 2.382 0.000
P 0.000 0.000 2.382
P 2.382 0.000 0.000
Ga 0.000 0.000 0.000
Li 2.382 2.382 2.382
```

Its density of states at the Fermi level is 4.99 states/eV per cell. The polymorph energy (0 for the lowest one) is 0 meV/atom. The value obtained for the formation energy is 0.686 eV per atom.


No. 16
Density functional theory data (PBE) for a relaxed Li2NiN crystal.

```
4
Lattice="3.501 0.000 0.000 0.000 3.803 0.000 0.000 -1.902 3.294" Properties=species:S:1:pos:R:3 pbc="T T T"
Li 0.000 1.902 1.098
Li 0.000 0.000 2.196
Ni 1.750 0.000 0.000
N 0.000 0.000 0.000
```

Its density of states at the Fermi level is 1.96 states/eV per cell. The calculation puts the total energy at -19.3 eV for the cell shown.


No. 17
Density functional theory data (PBE) for a relaxed Rb2ZnIn3Sn4 crystal.

```
10
Lattice="-1.138 4.995 0.210 -4.996 -1.145 0.146 0.446 -0.405 12.066" Properties=species:S:1:pos:R:3 pbc="T T T"
Rb -0.455 2.394 3.203
Rb -2.167 -0.873 9.041
Zn -2.844 1.723 6.211
In 0.223 -0.202 6.033
In -0.184 2.148 10.536
In -2.438 -0.627 1.709
Sn -3.067 1.925 0.178
Sn 0.000 0.000 0.000
Sn -0.292 2.246 7.618
Sn -2.330 -0.725 4.627
```

Its density of states at the Fermi level is 4.82 states/eV per cell. The value obtained for the formation energy is -0.129 eV per atom.


No. 18
Density functional theory data (PBE) for a relaxed LaPr4H8 crystal.

```
13
Lattice="5.923 0.000 0.000 0.000 5.923 0.000 0.000 0.000 5.923" Properties=species:S:1:pos:R:3 pbc="T T T"
La 2.962 2.962 2.962
Pr 0.000 2.962 2.962
Pr 0.000 0.000 0.000
Pr 2.962 2.962 0.000
Pr 2.962 0.000 2.962
H 1.509 4.414 4.414
H 4.414 1.509 4.414
H 4.414 4.414 1.509
H 1.509 1.509 1.509
H 1.509 4.414 1.509
H 4.414 1.509 1.509
H 4.414 4.414 4.414
H 1.509 1.509 4.414
```

Its density of states at the Fermi level is 11.26 states/eV per cell. The calculation puts the total energy at -53.2 eV for the cell shown.


No. 19
Density functional theory data (PBE) for a relaxed Ho8Er3Tm crystal.

```
12
Lattice="6.111 2.329 -2.560 0.068 4.987 -4.922 -2.856 -0.121 12.313" Properties=species:S:1:pos:R:3 pbc="T T T"
Ho -0.849 2.805 5.326
Ho 4.171 4.391 -0.495
Ho -0.882 0.310 7.786
Ho 2.173 1.476 6.507
Ho 2.207 3.970 4.046
Ho 1.115 3.226 0.785
Ho 1.149 5.720 -1.677
Ho 4.205 6.886 -2.955
Er 3.055 1.165 -1.280
Er 3.089 3.658 -3.741
Er 0.034 2.494 -2.461
Tm 0.000 0.000 0.000
```

Its density of states at the Fermi level is 15.95 states/eV per cell. The value obtained for the formation energy is 0.022 eV per atom.


No. 20
Density functional theory data (PBE) for a relaxed Ni5Ir2W2 crystal.

```
9
Lattice="-5.781 1.112 0.061 4.091 -6.482 -1.772 -1.463 4.132 4.713" Properties=species:S:1:pos:R:3 pbc="T T T"
Ni -0.679 -3.664 0.017
Ni -2.474 2.426 2.985
Ni -3.418 0.641 1.244
Ni 0.266 -1.880 1.758
Ni 0.000 0.000 0.000
Ir -5.905 3.153 4.184
Ir 2.752 -4.391 -1.182
W -2.095 -1.536 0.558
W -1.058 0.298 2.444
```

Its density of states at the Fermi level is 8.62 states/eV per cell. The value obtained for the formation energy is -0.105 eV per atom.


No. 21
Density functional theory data (PBE) for a relaxed W2BrCl crystal.

```
4
Lattice="3.009 0.000 0.000 0.000 3.009 0.000 0.000 0.000 9.008" Properties=species:S:1:pos:R:3 pbc="T T T"
Br 0.000 0.000 3.788
W 0.000 0.000 0.183
W 1.504 1.504 2.010
Cl 1.504 1.504 7.531
```

Its density of states at the Fermi level is 1.59 states/eV per cell. The polymorph energy (0 for the lowest one) is 356 meV/atom.


No. 22
Density functional theory data (PBE) for a relaxed KSrInSn crystal.

```
4
Lattice="5.798 0.000 0.000 2.899 5.021 0.000 2.899 1.674 4.734" Properties=species:S:1:pos:R:3 pbc="T T T"
Sr 0.000 0.000 0.000
K 5.798 3.347 2.367
Sn 2.899 1.674 1.183
In 8.697 5.021 3.550
```

Its density of states at the Fermi level is 1.48 states/eV per cell. The value obtained for the formation energy is -0.250 eV per atom.


No. 23
Density functional theory data (PBE) for a relaxed Sr2FeCuMo crystal.

```
5
Lattice="5.766 0.000 0.000 0.000 4.654 0.000 0.000 0.000 5.766" Properties=species:S:1:pos:R:3 pbc="T T T"
Sr 0.000 0.000 2.883
Sr 2.883 0.000 0.000
Mo 0.000 0.000 0.000
Fe 2.883 2.327 2.883
Cu 0.000 2.327 0.000
```

Its density of states at the Fermi level is 6.71 states/eV per cell. The value obtained for the formation energy is 1.430 eV per atom.


No. 24
Density functional theory data (PBE) for a relaxed YTe2Pd2 crystal.

```
5
Lattice="-1.074 1.685 4.887 -4.275 -3.095 0.128 -0.294 -3.925 4.141" Properties=species:S:1:pos:R:3 pbc="T T T"
Y 0.000 0.000 0.000
Te -2.021 -1.472 5.768
Te -3.622 -3.863 3.388
Pd -1.912 -1.737 3.031
Pd -3.731 -3.598 6.125
```

Its density of states at the Fermi level is 2.48 states/eV per cell. The polymorph energy (0 for the lowest one) is 68 meV/atom.


No. 25
Density functional theory data (PBE) for a relaxed SrCuSCl2 crystal.

```
5
Lattice="-4.317 -1.960 0.013 0.276 -0.640 -4.690 1.981 -4.360 0.711" Properties=species:S:1:pos:R:3 pbc="T T T"
Sr -1.030 -3.480 -1.983
S 0.991 -2.180 0.356
Cu 0.000 0.000 0.000
Cl 0.138 -0.320 -2.345
Cl -2.159 -0.980 0.006
```

Its density of states at the Fermi level is 2.91 states/eV per cell. The polymorph energy (0 for the lowest one) is 0 meV/atom.


No. 26
Density functional theory data (PBE) for a relaxed Hg3PdBr2F6 crystal.

```
12
Lattice="5.746 0.000 0.433 0.000 7.282 0.000 -0.125 -3.641 6.060" Properties=species:S:1:pos:R:3 pbc="T T T"
Hg 0.000 3.641 0.000
Hg 2.810 1.821 3.247
Hg 2.810 -1.821 3.247
Pd 2.873 0.000 0.217
Br 0.710 3.641 2.399
Br 4.911 0.000 4.095
F 3.917 1.671 1.281
F 1.703 1.970 5.212
F 3.829 3.641 4.395
F 1.792 0.000 2.098
F 1.703 -1.970 5.212
F 3.917 5.611 1.281
```

Its density of states at the Fermi level is 0.13 states/eV per cell. The calculation puts the total energy at -33.3 eV for the cell shown.


Per-record magnetization, Bohr magnetons per cell: 7.59; 0.00; 5.31; 0.39; 0.00; 3.00; 2.79; 0.00; 0.00; 1.18; 0.00; 0.00; 0.00; 0.00; 0.00; 0.28; 0.00; 1.09; 0.00; 0.00; 0.00; 0.00; 3.76; 0.00; 0.00; 2.00